! Ni23B6 (GGA-PBE, optimized geometry); values from VASP
&SYSTEM
  ibrav = 0, nat = 29, ntyp = 2
/
ATOMIC_SPECIES
Ni 58.69 Ni.upf
B 10.81 B.upf
CELL_PARAMETERS angstrom
0.042 1.750 -7.182
-6.369 -1.672 3.360
3.450 6.348 1.567
ATOMIC_POSITIONS angstrom
Ni 0.000 0.000 0.000
Ni 1.168 2.149 0.530
Ni -0.988 1.583 1.668
Ni -4.185 0.051 -2.529
Ni -1.903 4.250 -1.492
Ni -0.974 2.175 -0.764
Ni 0.642 4.197 -0.977
B 2.537 5.883 -4.080
B 0.974 3.007 -4.790
Ni -2.156 -0.566 1.137
Ni 2.282 4.199 1.036
Ni 0.662 5.026 -4.377
Ni -2.712 3.317 0.792
Ni -0.165 3.109 -3.048
Ni 0.028 1.158 -4.751
Ni -3.519 2.228 -1.279
Ni -3.539 1.400 2.121
B -2.528 1.300 0.302
Ni -2.142 0.026 -1.294
Ni -4.345 0.311 0.050
B 2.518 5.090 -0.826
Ni 1.468 6.114 -2.306
Ni -2.291 2.063 -3.315
Ni 0.014 0.592 -2.431
Ni -4.213 -1.106 2.222
B 0.955 2.214 -1.536
Ni -1.931 3.093 3.259
B -0.349 5.126 -2.558
Ni -0.587 4.362 1.059
! * electronic total energy: -5.99 eV/atom
! * spin magnetization: 0.84 μB/f.u.